A plane-wave DFT calculation with PBE was carried out for a relaxed Ca2Ga crystal.

Results
Its mass density is 2.5 g/cm3. The calculation puts the uncorrected energy at -7.69 eV for the cell shown. The energy relative to the elements comes out at -221 meV/atom.

Cell lengths 5.205, 5.205, 5.205 Å; angles 119.94, 119.94, 90.11 degrees
Element x y z (fractional)
Ca1 0.250 0.750 0.500
Ca2 0.750 0.250 0.500
Ga1 0.000 0.000 0.000